{"formula": "Pr3Zn7Pd4", "functional": "PBE-GGA", "state": "relaxed", "sg": "C2/m, No. 12", "formation_enthalpy_0k_ev_per_atom": -0.5683, "magmom_total_mub_per_cell": 0.0, "n_ef_per_ev_fu": 7.418, "cell": [[7.8322, -2.2177, 0.0000], [7.8322, 2.2177, 0.0000], [-5.3137, 0.0000, 7.7662]], "species": ["Pr", "Pr", "Pr", "Zn", "Zn", "Zn", "Zn", "Zn", "Zn", "Zn", "Pd", "Pd", "Pd", "Pd"], "fractional_positions": [[0.0000, 0.0000, 0.0000], [0.3021, 0.3021, 0.2990], [0.6979, 0.6979, 0.7010], [0.0000, 0.0000, 0.5000], [0.1373, 0.1373, 0.4154], [0.3263, 0.3263, 0.9799], [0.4978, 0.4978, 0.7016], [0.5022, 0.5022, 0.2984], [0.6737, 0.6737, 0.0201], [0.8627, 0.8627, 0.5846], [0.1175, 0.1175, 0.8350], [0.3354, 0.3354, 0.7076], [0.6646, 0.6646, 0.2924], [0.8825, 0.8825, 0.1650]]}